w:
This record from the Alexandria database describes a relaxed structure of ReAu2I. The functional is GGA-PBE.

- calculated volume (Å³ per atom) = 19.87
- DOS at the Fermi energy (states/eV per cell) = 19.11

Structure (CIF):
```
data_ReAu2I
_chemical_formula_sum 'Re4 Au8 I4'
_cell_length_a 6.826
_cell_length_b 6.826
_cell_length_c 6.826
_cell_angle_alpha 90.00
_cell_angle_beta 90.00
_cell_angle_gamma 90.00
_symmetry_space_group_name_H-M 'F m -3 m'
_symmetry_Int_Tables_number 225
_symmetry_space_group_name_Hall '-F 4 2 3'
loop_
_atom_site_label
_atom_site_fract_x
_atom_site_fract_y
_atom_site_fract_z
Re1 0.000 0.000 0.000
Au1 0.250 0.250 0.250
I1 0.000 0.000 0.500
```

***

x:
This record from the Alexandria database describes a relaxed structure of ReAu2I. The functional is GGA-PBE.

- calculated volume (Å³ per atom) = 22.96
- DOS at the Fermi energy (states/eV per cell) = 26.09

Structure (CIF):
```
data_ReAu2I
_chemical_formula_sum 'Re4 Au8 I4'
_cell_length_a 8.329
_cell_length_b 8.329
_cell_length_c 5.295
_cell_angle_alpha 90.00
_cell_angle_beta 90.00
_cell_angle_gamma 90.00
_symmetry_space_group_name_H-M 'I -4 2 d'
_symmetry_Int_Tables_number 122
_symmetry_space_group_name_Hall 'I -4 2bw'
loop_
_atom_site_label
_atom_site_fract_x
_atom_site_fract_y
_atom_site_fract_z
Re1 0.000 0.000 0.000
Au1 0.185 0.750 0.125
I1 0.000 0.000 0.500
```

***

In eV/atom, relative to the most stable structure: w 0.330; x 0.000.

***

w:
This record from the Alexandria database describes a relaxed structure of Re2AuI. The functional is GGA-PBE.

- calculated volume (Å³ per atom) = 20.70
- DOS at the Fermi energy (states/eV per cell) = 10.36

Structure (CIF):
```
data_Re2AuI
_chemical_formula_sum 'Re8 Au4 I4'
_cell_length_a 4.056
_cell_length_b 4.056
_cell_length_c 20.133
_cell_angle_alpha 90.00
_cell_angle_beta 90.00
_cell_angle_gamma 90.00
_symmetry_space_group_name_H-M 'I -4 2 d'
_symmetry_Int_Tables_number 122
_symmetry_space_group_name_Hall 'I -4 2bw'
loop_
_atom_site_label
_atom_site_fract_x
_atom_site_fract_y
_atom_site_fract_z
Re1 0.168 0.250 0.125
Au1 0.000 0.000 0.000
I1 0.000 0.000 0.500
```

***

x:
This record from the Alexandria database describes a relaxed structure of Re2AuI. The functional is GGA-PBE.

- calculated volume (Å³ per atom) = 17.19
- DOS at the Fermi energy (states/eV per cell) = 13.75

Structure (CIF):
```
data_Re2AuI
_chemical_formula_sum 'Re8 Au4 I4'
_cell_length_a 6.504
_cell_length_b 6.504
_cell_length_c 6.504
_cell_angle_alpha 90.00
_cell_angle_beta 90.00
_cell_angle_gamma 90.00
_symmetry_space_group_name_H-M 'F m -3 m'
_symmetry_Int_Tables_number 225
_symmetry_space_group_name_Hall '-F 4 2 3'
loop_
_atom_site_label
_atom_site_fract_x
_atom_site_fract_y
_atom_site_fract_z
Re1 0.250 0.250 0.250
Au1 0.000 0.000 0.000
I1 0.000 0.000 0.500
```

***

In eV/atom, relative to the most stable structure: w 0.000; x 0.075.

***

w:
This record from the Alexandria database describes a relaxed structure of ReAuI2. The functional is GGA-PBE.

- calculated volume (Å³ per atom) = 21.76
- DOS at the Fermi energy (states/eV per cell) = 2.05

Structure (CIF):
```
data_ReAuI2
_chemical_formula_sum 'Re4 Au4 I8'
_cell_length_a 7.035
_cell_length_b 7.035
_cell_length_c 7.035
_cell_angle_alpha 90.00
_cell_angle_beta 90.00
_cell_angle_gamma 90.00
_symmetry_space_group_name_H-M 'F m -3 m'
_symmetry_Int_Tables_number 225
_symmetry_space_group_name_Hall '-F 4 2 3'
loop_
_atom_site_label
_atom_site_fract_x
_atom_site_fract_y
_atom_site_fract_z
Re1 0.000 0.000 0.000
Au1 0.000 0.000 0.500
I1 0.250 0.250 0.250
```

***

x:
This record from the Alexandria database describes a relaxed structure of ReAuI2. The functional is GGA-PBE.

- calculated volume (Å³ per atom) = 30.34
- DOS at the Fermi energy (states/eV per cell) = 11.73

Structure (CIF):
```
data_ReAuI2
_chemical_formula_sum 'Re4 Au4 I8'
_cell_length_a 6.897
_cell_length_b 6.897
_cell_length_c 10.205
_cell_angle_alpha 90.00
_cell_angle_beta 90.00
_cell_angle_gamma 90.00
_symmetry_space_group_name_H-M 'I -4 2 d'
_symmetry_Int_Tables_number 122
_symmetry_space_group_name_Hall 'I -4 2bw'
loop_
_atom_site_label
_atom_site_fract_x
_atom_site_fract_y
_atom_site_fract_z
Re1 0.000 0.000 0.000
Au1 0.000 0.000 0.500
I1 0.209 0.250 0.125
```

***

In eV/atom, relative to the most stable structure: w 0.236; x 0.000.

***

w:
This record from the Alexandria database describes a relaxed structure of ReSb2AuI. The functional is GGA-PBE.

- calculated volume (Å³ per atom) = 31.94
- DOS at the Fermi energy (states/eV per cell) = 3.00

Structure (CIF):
```
data_ReSb2AuI
_chemical_formula_sum 'Re1 Sb2 Au1 I1'
_cell_length_a 5.399
_cell_length_b 5.399
_cell_length_c 5.478
_cell_angle_alpha 90.00
_cell_angle_beta 90.00
_cell_angle_gamma 90.00
_symmetry_space_group_name_H-M 'P 4/m m m'
_symmetry_Int_Tables_number 123
_symmetry_space_group_name_Hall '-P 4 2'
loop_
_atom_site_label
_atom_site_fract_x
_atom_site_fract_y
_atom_site_fract_z
Re1 0.000 0.000 0.000
Sb1 0.000 0.500 0.500
Au1 0.500 0.500 0.500
I1 0.500 0.500 0.000
```

***

x:
This record from the Alexandria database describes a relaxed structure of ReSb2AuI. The functional is GGA-PBE.

- calculated volume (Å³ per atom) = 29.71
- DOS at the Fermi energy (states/eV per cell) = 3.65

Structure (CIF):
```
data_ReSb2AuI
_chemical_formula_sum 'Re1 Sb2 Au1 I1'
_cell_length_a 5.082
_cell_length_b 5.082
_cell_length_c 5.752
_cell_angle_alpha 90.00
_cell_angle_beta 90.00
_cell_angle_gamma 90.00
_symmetry_space_group_name_H-M 'P 4/m m m'
_symmetry_Int_Tables_number 123
_symmetry_space_group_name_Hall '-P 4 2'
loop_
_atom_site_label
_atom_site_fract_x
_atom_site_fract_y
_atom_site_fract_z
Re1 0.000 0.000 0.000
Sb1 0.000 0.500 0.000
Au1 0.500 0.500 0.500
I1 0.000 0.000 0.500
```

***

In eV/atom, relative to the most stable structure: w 0.784; x 0.000.

***

w:
This record from the Alexandria database describes a relaxed structure of ReSbAuI2. The functional is GGA-PBE.

- calculated volume (Å³ per atom) = 30.81
- DOS at the Fermi energy (states/eV per cell) = 5.73

Structure (CIF):
```
data_ReSbAuI2
_chemical_formula_sum 'Re1 Sb1 Au1 I2'
_cell_length_a 5.466
_cell_length_b 5.466
_cell_length_c 5.157
_cell_angle_alpha 90.00
_cell_angle_beta 90.00
_cell_angle_gamma 90.00
_symmetry_space_group_name_H-M 'P 4/m m m'
_symmetry_Int_Tables_number 123
_symmetry_space_group_name_Hall '-P 4 2'
loop_
_atom_site_label
_atom_site_fract_x
_atom_site_fract_y
_atom_site_fract_z
Re1 0.000 0.000 0.000
Sb1 0.000 0.000 0.500
Au1 0.500 0.500 0.500
I1 0.000 0.500 0.000
```

***

x:
This record from the Alexandria database describes a relaxed structure of ReSbAuI2. The functional is GGA-PBE.

- calculated volume (Å³ per atom) = 34.52
- DOS at the Fermi energy (states/eV per cell) = 2.66

Structure (CIF):
```
data_ReSbAuI2
_chemical_formula_sum 'Re1 Sb1 Au1 I2'
_cell_length_a 5.552
_cell_length_b 5.552
_cell_length_c 5.598
_cell_angle_alpha 90.00
_cell_angle_beta 90.00
_cell_angle_gamma 90.00
_symmetry_space_group_name_H-M 'P 4/m m m'
_symmetry_Int_Tables_number 123
_symmetry_space_group_name_Hall '-P 4 2'
loop_
_atom_site_label
_atom_site_fract_x
_atom_site_fract_y
_atom_site_fract_z
Re1 0.000 0.000 0.000
Sb1 0.500 0.500 0.000
Au1 0.500 0.500 0.500
I1 0.000 0.500 0.500
```

***

In eV/atom, relative to the most stable structure: w 0.000; x 0.538.

***

w:
This record from the Alexandria database describes a relaxed structure of ReTeAuI2. The functional is GGA-PBE.

- calculated volume (Å³ per atom) = 34.58
- DOS at the Fermi energy (states/eV per cell) = 2.75

Structure (CIF):
```
data_ReTeAuI2
_chemical_formula_sum 'Re1 Te1 Au1 I2'
_cell_length_a 5.501
_cell_length_b 5.501
_cell_length_c 5.713
_cell_angle_alpha 90.00
_cell_angle_beta 90.00
_cell_angle_gamma 90.00
_symmetry_space_group_name_H-M 'P 4/m m m'
_symmetry_Int_Tables_number 123
_symmetry_space_group_name_Hall '-P 4 2'
loop_
_atom_site_label
_atom_site_fract_x
_atom_site_fract_y
_atom_site_fract_z
Re1 0.000 0.000 0.000
Te1 0.500 0.500 0.000
Au1 0.500 0.500 0.500
I1 0.000 0.500 0.500
```

***

x:
This record from the Alexandria database describes a relaxed structure of ReTeAuI2. The functional is GGA-PBE.

- calculated volume (Å³ per atom) = 31.46
- DOS at the Fermi energy (states/eV per cell) = 5.56

Structure (CIF):
```
data_ReTeAuI2
_chemical_formula_sum 'Re1 Te1 Au1 I2'
_cell_length_a 5.577
_cell_length_b 5.577
_cell_length_c 5.059
_cell_angle_alpha 90.00
_cell_angle_beta 90.00
_cell_angle_gamma 90.00
_symmetry_space_group_name_H-M 'P 4/m m m'
_symmetry_Int_Tables_number 123
_symmetry_space_group_name_Hall '-P 4 2'
loop_
_atom_site_label
_atom_site_fract_x
_atom_site_fract_y
_atom_site_fract_z
Re1 0.000 0.000 0.000
Te1 0.000 0.000 0.500
Au1 0.500 0.500 0.500
I1 0.000 0.500 0.000
```

***

y:
This record from the Alexandria database describes a relaxed structure of ReTeAuI2. The functional is GGA-PBE.

- calculated volume (Å³ per atom) = 33.27
- DOS at the Fermi energy (states/eV per cell) = 5.69

Structure (CIF):
```
data_ReTeAuI2
_chemical_formula_sum 'Re1 Te1 Au1 I2'
_cell_length_a 5.519
_cell_length_b 5.519
_cell_length_c 5.461
_cell_angle_alpha 90.00
_cell_angle_beta 90.00
_cell_angle_gamma 90.00
_symmetry_space_group_name_H-M 'P 4/m m m'
_symmetry_Int_Tables_number 123
_symmetry_space_group_name_Hall '-P 4 2'
loop_
_atom_site_label
_atom_site_fract_x
_atom_site_fract_y
_atom_site_fract_z
Re1 0.000 0.000 0.000
Te1 0.500 0.500 0.000
Au1 0.000 0.000 0.500
I1 0.000 0.500 0.500
```

***

In eV/atom, relative to the most stable structure: w 0.509; x 0.000; y 0.532.